(1)
# PBE-GGA GdAsPO, optimized geometry
data_GdAsPO
_chemical_formula_sum 'Gd2 As2 P2 O2'
_cell_length_a 4.552
_cell_length_b 4.552
_cell_length_c 6.580
_cell_angle_alpha 90.00
_cell_angle_beta 90.00
_cell_angle_gamma 90.00
_symmetry_space_group_name_H-M 'P 1'
_symmetry_Int_Tables_number 1
loop_
_symmetry_equiv_pos_as_xyz
'x,y,z'
loop_
_atom_site_label
_atom_site_type_symbol
_atom_site_fract_x
_atom_site_fract_y
_atom_site_fract_z
As1 As 0.750 0.250 0.500
As2 As 0.250 0.750 0.500
Gd1 Gd 0.250 0.250 0.114
Gd2 Gd 0.750 0.750 0.886
O1 O 0.750 0.250 0.000
O2 O 0.250 0.750 0.000
P1 P 0.750 0.750 0.367
P2 P 0.250 0.250 0.633
# Crystal system: tetragonal
# Energy above the lowest structure with this stoichiometry (eV/atom): 0.000


(2)
# PBE-GGA GdAsPO, optimized geometry
data_GdAsPO
_chemical_formula_sum 'Gd2 As2 P2 O2'
_cell_length_a 4.267
_cell_length_b 6.035
_cell_length_c 6.117
_cell_angle_alpha 90.00
_cell_angle_beta 90.00
_cell_angle_gamma 90.00
_symmetry_space_group_name_H-M 'P 1'
_symmetry_Int_Tables_number 1
loop_
_symmetry_equiv_pos_as_xyz
'x,y,z'
loop_
_atom_site_label
_atom_site_type_symbol
_atom_site_fract_x
_atom_site_fract_y
_atom_site_fract_z
As1 As 0.000 0.360 0.056
As2 As 0.000 0.640 0.556
Gd1 Gd 0.500 0.245 0.454
Gd2 Gd 0.500 0.755 0.954
O1 O 0.000 0.205 0.322
O2 O 0.000 0.795 0.822
P1 P 0.500 0.767 0.422
P2 P 0.500 0.233 0.922
# Crystal system: orthorhombic
# Energy above the lowest structure with this stoichiometry (eV/atom): 0.166


(3)
# PBE-GGA GdAsPO, optimized geometry
data_GdAsPO
_chemical_formula_sum 'Gd2 As2 P2 O2'
_cell_length_a 5.733
_cell_length_b 5.733
_cell_length_c 4.639
_cell_angle_alpha 90.00
_cell_angle_beta 90.00
_cell_angle_gamma 90.00
_symmetry_space_group_name_H-M 'P 1'
_symmetry_Int_Tables_number 1
loop_
_symmetry_equiv_pos_as_xyz
'x,y,z'
loop_
_atom_site_label
_atom_site_type_symbol
_atom_site_fract_x
_atom_site_fract_y
_atom_site_fract_z
As1 As 0.250 0.250 0.014
As2 As 0.750 0.750 0.986
Gd1 Gd 0.750 0.250 0.500
Gd2 Gd 0.250 0.750 0.500
O1 O 0.750 0.250 0.000
O2 O 0.250 0.750 0.000
P1 P 0.750 0.750 0.485
P2 P 0.250 0.250 0.515
# Crystal system: tetragonal
# Energy above the lowest structure with this stoichiometry (eV/atom): 0.461


(4)
# PBE-GGA GdAsPO, optimized geometry
data_GdAsPO
_chemical_formula_sum 'Gd2 As2 P2 O2'
_cell_length_a 4.305
_cell_length_b 4.305
_cell_length_c 7.854
_cell_angle_alpha 90.00
_cell_angle_beta 90.00
_cell_angle_gamma 90.00
_symmetry_space_group_name_H-M 'P 1'
_symmetry_Int_Tables_number 1
loop_
_symmetry_equiv_pos_as_xyz
'x,y,z'
loop_
_atom_site_label
_atom_site_type_symbol
_atom_site_fract_x
_atom_site_fract_y
_atom_site_fract_z
As1 As 0.000 0.000 0.500
As2 As 0.500 0.500 0.500
Gd1 Gd 0.000 0.500 0.116
Gd2 Gd 0.500 0.000 0.884
O1 O 0.000 0.000 0.000
O2 O 0.500 0.500 0.000
P1 P 0.500 0.000 0.336
P2 P 0.000 0.500 0.664
# Crystal system: tetragonal
# Energy above the lowest structure with this stoichiometry (eV/atom): 0.065


(5)
# PBE-GGA GdPaAsO, optimized geometry
data_GdPaAsO
_chemical_formula_sum 'Gd2 Pa2 As2 O2'
_cell_length_a 4.113
_cell_length_b 8.062
_cell_length_c 5.870
_cell_angle_alpha 90.00
_cell_angle_beta 90.00
_cell_angle_gamma 90.00
_symmetry_space_group_name_H-M 'P 1'
_symmetry_Int_Tables_number 1
loop_
_symmetry_equiv_pos_as_xyz
'x,y,z'
loop_
_atom_site_label
_atom_site_type_symbol
_atom_site_fract_x
_atom_site_fract_y
_atom_site_fract_z
As1 As 0.000 0.856 0.449
As2 As 0.000 0.144 0.949
Gd1 Gd 0.000 0.212 0.449
Gd2 Gd 0.000 0.788 0.949
O1 O 0.500 0.327 0.381
O2 O 0.500 0.673 0.881
Pa1 Pa 0.500 0.610 0.475
Pa2 Pa 0.500 0.390 0.975
# Crystal system: orthorhombic
# Energy above the lowest structure with this stoichiometry (eV/atom): 0.020


(6)
# PBE-GGA GdPaAsO, optimized geometry
data_GdPaAsO
_chemical_formula_sum 'Gd2 Pa2 As2 O2'
_cell_length_a 4.225
_cell_length_b 4.225
_cell_length_c 9.421
_cell_angle_alpha 90.00
_cell_angle_beta 90.00
_cell_angle_gamma 90.00
_symmetry_space_group_name_H-M 'P 1'
_symmetry_Int_Tables_number 1
loop_
_symmetry_equiv_pos_as_xyz
'x,y,z'
loop_
_atom_site_label
_atom_site_type_symbol
_atom_site_fract_x
_atom_site_fract_y
_atom_site_fract_z
As1 As 0.000 0.500 0.277
As2 As 0.500 0.000 0.723
Gd1 Gd 0.500 0.000 0.104
Gd2 Gd 0.000 0.500 0.896
O1 O 0.000 0.000 0.000
O2 O 0.500 0.500 0.000
Pa1 Pa 0.000 0.000 0.500
Pa2 Pa 0.500 0.500 0.500
# Crystal system: tetragonal
# Energy above the lowest structure with this stoichiometry (eV/atom): 0.020


(7)
# PBE-GGA GdPaAsO, optimized geometry
data_GdPaAsO
_chemical_formula_sum 'Gd2 Pa2 As2 O2'
_cell_length_a 4.207
_cell_length_b 4.207
_cell_length_c 9.241
_cell_angle_alpha 90.00
_cell_angle_beta 90.00
_cell_angle_gamma 90.00
_symmetry_space_group_name_H-M 'P 1'
_symmetry_Int_Tables_number 1
loop_
_symmetry_equiv_pos_as_xyz
'x,y,z'
loop_
_atom_site_label
_atom_site_type_symbol
_atom_site_fract_x
_atom_site_fract_y
_atom_site_fract_z
As1 As 0.750 0.750 0.274
As2 As 0.250 0.250 0.726
Gd1 Gd 0.750 0.250 0.500
Gd2 Gd 0.250 0.750 0.500
O1 O 0.750 0.250 0.000
O2 O 0.250 0.750 0.000
Pa1 Pa 0.250 0.250 0.132
Pa2 Pa 0.750 0.750 0.868
# Crystal system: tetragonal
# Energy above the lowest structure with this stoichiometry (eV/atom): 0.000


(8)
# PBE-GGA GdAsPbO, optimized geometry
data_GdAsPbO
_chemical_formula_sum 'Gd2 As2 Pb2 O2'
_cell_length_a 4.036
_cell_length_b 8.484
_cell_length_c 6.101
_cell_angle_alpha 90.00
_cell_angle_beta 90.00
_cell_angle_gamma 90.00
_symmetry_space_group_name_H-M 'P 1'
_symmetry_Int_Tables_number 1
loop_
_symmetry_equiv_pos_as_xyz
'x,y,z'
loop_
_atom_site_label
_atom_site_type_symbol
_atom_site_fract_x
_atom_site_fract_y
_atom_site_fract_z
As1 As 0.000 0.830 0.413
As2 As 0.000 0.170 0.913
Gd1 Gd 0.000 0.167 0.427
Gd2 Gd 0.000 0.833 0.927
O1 O 0.500 0.263 0.386
O2 O 0.500 0.737 0.886
Pb1 Pb 0.500 0.379 0.027
Pb2 Pb 0.500 0.621 0.527
# Crystal system: orthorhombic
# Energy above the lowest structure with this stoichiometry (eV/atom): 0.027


no.,E (eV/cell)
1,-50.49
2,-49.16
3,-46.80
4,-49.97
5,-57.85
6,-57.85
7,-58.01
8,-47.11